{"formula": "VF", "functional": "PBE with a Hubbard U", "state": "relaxed", "lattice": [[6.292, 0.000, 0.000], [0.000, 6.292, 0.000], [0.000, 0.000, 6.292]], "species": ["V", "V", "V", "V", "V", "V", "F", "F", "F", "F", "F", "F"], "fractional_positions": [[0.000, 0.250, 0.500], [0.000, 0.750, 0.500], [0.250, 0.500, 0.000], [0.500, 0.000, 0.250], [0.500, 0.000, 0.750], [0.750, 0.500, 0.000], [0.000, 0.500, 0.250], [0.000, 0.500, 0.750], [0.250, 0.000, 0.500], [0.500, 0.250, 0.000], [0.500, 0.750, 0.000], [0.750, 0.000, 0.500]], "m_tot_mub_per_fu": 3.6, "rho_kg_m3": 2797, "polymorph_energy_mev_per_atom": 527.9, "e_tot_ev_per_atom": -5.36, "volume_a3_per_cell": 249, "dos_at_fermi_per_ev_cell": 7.54, "crystal_system": "cubic"}